Below is an optimized crystal structure of AcLaTbZn, with properties calculated at the PBE-GGA level.

Properties
formation energy from the elements: 143.0 meV per atom
crystal system: cubic
DFT total energy: -14.368 eV per cell
energy relative to the lowest polymorph listed for this composition: 276 meV per atom

Cell lengths 5.639, 5.639, 5.639 Å; angles 60.00, 60.00, 60.00 degrees
Positions (direct):
Ac  0.500  0.500  0.500
Tb  0.750  0.750  0.750
Zn  0.000  0.000  0.000
La  0.250  0.250  0.250


Below is an optimized crystal structure of K2RbHf3O8, with properties calculated at the PBE-GGA level.

Properties
crystal system: trigonal
DFT total energy: -110.250 eV per cell
energy relative to the elements, uncorrected: -2683 meV per atom

Cell lengths 6.542, 6.542, 7.527 Å; angles 64.24, 64.24, 60.00 degrees
Site moments in Bohr magnetons follow the coordinates.
Positions (direct):
K  0.129  0.129  0.613  0.00
K  0.500  0.500  0.501  0.00
Rb  0.865  0.865  0.405  0.00
Hf  0.500  0.000  0.000  -0.03
Hf  0.000  0.500  0.000  -0.03
Hf  0.500  0.500  0.000  -0.03
O  0.276  0.276  0.171  0.00
O  0.722  0.722  0.833  0.00
O  0.242  0.242  0.834  0.14
O  0.681  0.242  0.834  0.14
O  0.242  0.681  0.834  0.14
O  0.756  0.322  0.166  0.16
O  0.322  0.756  0.166  0.16
O  0.756  0.756  0.166  0.16


Below is an optimized crystal structure of Ca2PrAg6, with properties calculated at the PBE-GGA level.

Properties
formation energy from the elements: -260.0 meV per atom
crystal system: hexagonal
DFT total energy: -28.230 eV per cell
energy relative to the lowest polymorph listed for this composition: 0 meV per atom

Cell lengths 3.643, 8.297, 8.297 Å; angles 120.00, 90.00, 90.00 degrees
Positions (direct):
Ca  0.000  0.333  0.667
Ca  0.000  0.667  0.333
Pr  0.000  0.000  0.000
Ag  0.500  0.334  0.334
Ag  0.500  0.666  0.666
Ag  0.500  0.000  0.666
Ag  0.500  0.666  0.000
Ag  0.500  0.334  0.000
Ag  0.500  0.000  0.334


> Among the records above, which one has the lowest DFT total energy?

K2RbHf3O8


> Look up the DFT total energy of the first one.

-14.368 eV per cell